## SrTc2Mo (GGA-PBE)

Data for a geometry-optimized SrTc2Mo structure.

Output
E_tot: -117.89 eV per cell
size of the total moment: 0.028 μB/cell
V: 70.0 Å³/f.u.

Cell lengths 6.5428, 6.5428, 6.5428 Å; angles 90.00, 90.00, 90.00 degrees
With the nearest neighbours (Å) after each atom.
Space group F-43m (No. 216)
One atom of each set of equivalent atoms:
1 Sr 0.0000 0.0000 0.0000  4 Mo 2.83, 4 Tc 2.83
2 Tc 0.0000 0.0000 0.5000  4 Mo 2.83, 4 Tc 2.83
3 Tc 0.2500 0.2500 0.7500  4 Tc 2.83, 4 Sr 2.83
4 Mo 0.2500 0.2500 0.2500  4 Tc 2.83, 4 Sr 2.83